# PuTh2PaSe4

Crystalline PuTh2PaSe4 at its relaxed geometry (GGA-PBE, Alexandria via LeMat-Bulk).

Summary:
Crystal system: monoclinic
Space-group type: P2/m, No. 10
Uncorrected formation energy in eV/atom: -1.46
D(E_F) in states/eV/cell: 12.6

Geometry as extended XYZ:
```
8
Lattice="4.119 0.000 0.000 0.000 7.242 -0.186 0.000 2.508 6.714" Properties=species:S:1:pos:R:3 pbc="T T T"
Pa 2.059 3.621 -0.093
Se 0.000 7.244 4.914
Th 0.000 2.508 6.714
Th 2.059 1.254 3.357
Se 2.059 3.761 4.960
Se 2.059 5.988 1.569
Pu 0.000 4.875 3.264
Se 4.119 2.505 1.615
```